VASP calculation (PBE-GGA) on a relaxed structure of Hf2CoGeP.

Results
The calculated formation energy comes out at 1.06 eV/atom. The symmetry is P4/mmm. Its total DFT energy (no corrections) is -6.34 eV/atom.

```
Hf2CoGeP
1.0
4.978 0.000 0.000
0.000 4.978 0.000
0.000 0.000 4.376
Hf Co Ge P
2 1 1 1
Direct
0.000 0.500 0.000
0.500 0.000 0.000
0.000 0.000 0.500
0.500 0.500 0.000
0.500 0.500 0.500
```

***

VASP calculation (PBE-GGA) on a relaxed structure of HfPaCo5Ge2.

Results
The calculated formation energy comes out at -0.33 eV/atom. The symmetry is P4/mmm. Its total DFT energy (no corrections) is -7.47 eV/atom.

```
HfPaCo5Ge2
1.0
3.861 0.000 0.000
0.000 3.861 0.000
0.000 0.000 8.597
Hf Pa Co Ge
1 1 5 2
Direct
0.000 0.000 0.000
0.000 0.000 0.500
0.000 0.500 0.283
0.000 0.500 0.717
0.500 0.000 0.283
0.500 0.000 0.717
0.500 0.500 0.500
0.500 0.500 0.140
0.500 0.500 0.860
```

***

VASP calculation (PBE-GGA) on a relaxed structure of RbHfCo2Ge.

Results
The calculated formation energy comes out at 2.11 eV/atom. The symmetry is P4/mmm. Its total DFT energy (no corrections) is -3.84 eV/atom.

```
RbHfCo2Ge
1.0
4.398 0.000 0.000
0.000 4.398 0.000
0.000 0.000 5.504
Rb Hf Co Ge
1 1 2 1
Direct
0.000 0.000 0.000
0.500 0.500 0.500
0.000 0.500 0.000
0.500 0.000 0.000
0.000 0.000 0.500
```